1.
Computed, not measured: crystalline YInPd at its relaxed geometry at the GGA-PBEsol level of DFT.

Values from the calculation:
E in eV per atom: -6.115

The structure in POSCAR format:
```
YInPd
1.0
3.8426 0.0000 0.0000
0.0000 7.5476 0.0000
0.0000 -3.7738 6.5364
Y Pd In
3 3 3
Cartesian
1.9213 2.2306 3.8635 Y
1.9213 -1.5432 2.6728 Y
1.9213 3.0863 0.0000 Y
1.9213 0.0000 0.0000 Pd
0.0000 0.0000 4.3576 Pd
0.0000 3.7738 2.1788 Pd
0.0000 0.9735 1.6862 In
0.0000 -2.8003 4.8502 In
0.0000 5.6006 0.0000 In
```

2.
Computed, not measured: crystalline RuC at its relaxed geometry at the GGA-PBEsol level of DFT.

Values from the calculation:
Relative energy among the computed polymorphs in eV/atom: 0.001

The structure in POSCAR format:
```
RuC
1.0
2.6618 0.0000 0.0000
0.0000 2.8904 0.0000
0.0000 -1.4452 2.5031
Ru C
1 1
Cartesian
1.3309 0.0000 1.6688 Ru
0.0000 0.0000 0.0000 C
```